The following is a PBE-GGA calculation of a relaxed structure of U3Se3S2, from Alexandria via LeMat-Bulk.

Calculated values
Space group: No. 71
Total moment in μB/atom: 0.31
Polymorph energy (0 for the lowest one) in meV/atom: 185
V in Å³/cell: 181.4
Energy relative to the elements, uncorrected in kJ/mol of formula units: -807.2

Lattice parameters (Å, degrees): 11.0325 11.0325 11.0325 160.41 156.23 30.99
Atoms (fractional coordinates):
U (0.0000, 0.0000, 0.0000)
U (0.3316, 0.8316, 0.5000)
U (0.6684, 0.1684, 0.5000)
Se (0.1128, 0.6128, 0.5000)
Se (0.5000, 0.5000, 0.0000)
Se (0.8872, 0.3872, 0.5000)
S (0.2405, 0.2405, 0.0000)
S (0.7595, 0.7595, 0.0000)